No. 1
VASP calculation (GGA-PBE) on a geometry-optimized MgTc2P structure. Values from VASP.

The value obtained for the energy above the most stable polymorph in this dataset is 517 meV/atom. The value obtained for the density of states at the Fermi level is 0.90 states/eV per atom. The space group is Cmm2, No. 35. The calculation puts the volume at 15.2 Å³ per atom.

The structure in Quantum ESPRESSO input format:
```
&SYSTEM
  ibrav = 0, nat = 4, ntyp = 3
/
ATOMIC_SPECIES
Mg 24.30 Mg.upf
Tc 98.00 Tc.upf
P 30.97 P.upf
CELL_PARAMETERS angstrom
1.539 -2.332 0.000
1.539 2.332 0.000
0.000 0.000 8.498
ATOMIC_POSITIONS crystal
Mg 0.000 0.000 0.000
Tc 0.000 0.000 0.481
Tc 0.500 0.500 0.735
P 0.500 0.500 0.267
```

=====

No. 2
VASP calculation (GGA-PBE) on a geometry-optimized Ho3Zr2Sc4 structure. Values from VASP.

The value obtained for the density of states at the Fermi level is 1.45 states/eV per atom. The space group is C2/c, No. 15. The calculation puts the volume at 26.8 Å³ per atom. As for the total energy: -6.13 eV/atom.

The structure in Quantum ESPRESSO input format:
```
&SYSTEM
  ibrav = 0, nat = 18, ntyp = 3
/
ATOMIC_SPECIES
Ho 164.93 Ho.upf
Zr 91.22 Zr.upf
Sc 44.96 Sc.upf
CELL_PARAMETERS angstrom
6.965 -5.974 0.000
6.965 5.974 0.000
-0.449 0.000 5.793
ATOMIC_POSITIONS crystal
Ho 0.054 0.946 0.750
Ho 0.203 0.629 0.457
Ho 0.371 0.797 0.043
Ho 0.629 0.203 0.957
Ho 0.797 0.371 0.543
Ho 0.946 0.054 0.250
Zr 0.009 0.389 0.146
Zr 0.389 0.009 0.646
Zr 0.611 0.991 0.354
Zr 0.991 0.611 0.854
Sc 0.142 0.286 0.641
Sc 0.286 0.142 0.141
Sc 0.328 0.455 0.972
Sc 0.455 0.328 0.472
Sc 0.545 0.672 0.528
Sc 0.672 0.545 0.028
Sc 0.714 0.858 0.859
Sc 0.858 0.714 0.359
```

=====

No. 3
VASP calculation (GGA-PBE) on a geometry-optimized Dy12Cd6Cu structure. Values from VASP.

The value obtained for the density of states at the Fermi level is 1.18 states/eV per atom. The space group is R-3, No. 148. The calculation puts the volume at 27.2 Å³ per atom. As for the total energy: -3.50 eV/atom.

The structure in Quantum ESPRESSO input format:
```
&SYSTEM
  ibrav = 0, nat = 19, ntyp = 3
/
ATOMIC_SPECIES
Dy 162.50 Dy.upf
Cd 112.41 Cd.upf
Cu 63.55 Cu.upf
CELL_PARAMETERS angstrom
5.605 3.236 4.745
-5.605 3.236 4.745
0.000 -6.472 4.745
ATOMIC_POSITIONS crystal
Dy 0.032 0.945 0.304
Dy 0.055 0.696 0.968
Dy 0.141 0.483 0.355
Dy 0.304 0.032 0.945
Dy 0.355 0.141 0.483
Dy 0.483 0.355 0.141
Dy 0.517 0.645 0.859
Dy 0.645 0.859 0.517
Dy 0.696 0.968 0.055
Dy 0.859 0.517 0.645
Dy 0.945 0.304 0.032
Dy 0.968 0.055 0.696
Cd 0.234 0.391 0.761
Cd 0.239 0.766 0.609
Cd 0.391 0.761 0.234
Cd 0.609 0.239 0.766
Cd 0.761 0.234 0.391
Cd 0.766 0.609 0.239
Cu 0.500 0.500 0.500
```

=====

For each record above, in turn, the calculated ρ values are 6.8, 5.9, 8.6 g/cm³.